Si3Ni | GGA-PBE | optimized geometry

Computed properties:
energy relative to the elements, uncorrected	162	meV per atom

The structure in POSCAR format:
```
Si3Ni
1.0
2.641 -3.519 0.000
2.641 3.519 0.000
0.000 0.000 2.757
Si Ni
3 1
direct
0.000 0.000 0.000
0.000 0.500 0.500
0.500 0.000 0.500
0.500 0.500 0.000
```

***

UMnCu | GGA-PBE | optimized geometry

Computed properties:
calculated formation energy	182	meV per atom

The structure in POSCAR format:
```
UMnCu
1.0
2.844 0.000 0.000
-0.003 4.425 0.000
-0.050 -0.026 7.235
U Mn Cu
2 2 2
direct
0.194 0.249 0.397
0.806 0.751 0.603
0.033 0.752 0.879
0.967 0.248 0.121
0.473 0.252 0.826
0.527 0.748 0.174
```

***

RbNaV2C | GGA-PBE | optimized geometry

Computed properties:
calculated formation energy	2407	meV per atom

The structure in POSCAR format:
```
RbNaV2C
1.0
5.356 0.000 0.000
0.000 5.356 0.000
0.000 0.000 4.546
Rb Na V C
1 1 2 1
direct
0.000 0.000 0.000
0.500 0.500 0.500
0.000 0.500 0.500
0.500 0.000 0.500
0.500 0.500 0.000
```

***

TcSb2Rh | GGA-PBE | optimized geometry

Computed properties:
energy above the most stable polymorph in this dataset	142.8	meV per atom
energy relative to the elements, uncorrected	75	meV per atom

The structure in POSCAR format:
```
TcSb2Rh
1.0
0.000 3.305 3.305
3.305 0.000 3.305
3.305 3.305 0.000
Tc Sb Rh
1 2 1
direct
0.000 0.000 0.000
0.250 0.250 0.250
0.750 0.750 0.750
0.500 0.500 0.500
```

***

Na2Tl4In5 | GGA-PBE | optimized geometry

Computed properties:
calculated formation energy	-42	meV per atom

The structure in POSCAR format:
```
Na2Tl4In5
1.0
8.813 -2.390 0.000
8.813 2.390 0.000
-2.600 0.000 7.320
Na Tl In
2 4 5
direct
0.092 0.092 0.455
0.908 0.908 0.545
0.182 0.182 0.906
0.453 0.453 0.270
0.547 0.547 0.730
0.818 0.818 0.094
0.000 0.000 0.000
0.264 0.264 0.362
0.367 0.367 0.812
0.633 0.633 0.188
0.736 0.736 0.638
```

***

Sr2MgZn2 | GGA-PBE | optimized geometry

Computed properties:
calculated formation energy	69	meV per atom
energy above the most stable polymorph in this dataset	253.9	meV per atom

The structure in POSCAR format:
```
Sr2MgZn2
1.0
9.173 0.000 0.000
0.000 9.173 0.000
0.000 0.000 3.741
Sr Mg Zn
4 2 4
direct
0.149 0.351 0.000
0.351 0.851 0.000
0.649 0.149 0.000
0.851 0.649 0.000
0.000 0.000 0.000
0.500 0.500 0.000
0.145 0.645 0.500
0.355 0.145 0.500
0.645 0.855 0.500
0.855 0.355 0.500
```

***

PrDyTlZn | GGA-PBE | optimized geometry

Computed properties:
calculated formation energy	-350	meV per atom
energy above the most stable polymorph in this dataset	0.0	meV per atom

The structure in POSCAR format:
```
PrDyTlZn
1.0
3.726 0.000 0.000
0.000 3.726 0.000
0.000 0.000 7.631
Pr Dy Tl Zn
1 1 1 1
direct
0.000 0.000 0.000
0.000 0.000 0.544
0.500 0.500 0.287
0.500 0.500 0.752
```

***

FeNiIr2 | GGA-PBE | optimized geometry

Computed properties:
calculated formation energy	157	meV per atom
energy above the most stable polymorph in this dataset	198.2	meV per atom

The structure in POSCAR format:
```
FeNiIr2
1.0
1.371 -2.272 0.000
1.371 2.272 0.000
0.000 0.000 8.669
Fe Ni Ir
1 1 2
direct
0.000 0.000 0.000
0.000 0.000 0.500
0.500 0.500 0.250
0.500 0.500 0.750
```

***

| no. | Fermi-level density of states (states/eV per cell) | ρ (g/cm³) | volume (A^3/atom) |
| --- | --- | --- | --- |
| 1 | 2.14 | 4.63 | 12.810 |
| 2 | 7.43 | 13.01 | 15.173 |
| 3 | 7.30 | 2.83 | 26.087 |
| 4 | 3.10 | 10.23 | 18.042 |
| 5 | 4.66 | 7.74 | 28.038 |
| 6 | 6.20 | 3.49 | 31.479 |
| 7 | 3.63 | 8.98 | 26.489 |
| 8 | 6.38 | 15.35 | 13.498 |